(1)
# CaNdSb GGA-PBE optimized geometry
# total DFT energy (no corrections): -4.18 eV per atom
data_CaNdSb
_symmetry_space_group_name_H-M 'P 1'
_symmetry_Int_Tables_number 1
_symmetry_space_group_name_Hall 'P 1'
_cell_length_a 5.058
_cell_length_b 5.058
_cell_length_c 4.311
_cell_angle_alpha 90.00
_cell_angle_beta 90.00
_cell_angle_gamma 120.00
loop_
_atom_site_label
_atom_site_type_symbol
_atom_site_fract_x
_atom_site_fract_y
_atom_site_fract_z
Ca1 Ca 0.000 0.000 0.000
Nd1 Nd 0.667 0.333 0.459
Sb1 Sb 0.333 0.667 0.826

(2)
# TaAsPt2 GGA-PBE optimized geometry
# energy of formation from the pure elements: 0.057 eV per atom
data_TaAsPt2
_symmetry_space_group_name_H-M 'P 1'
_symmetry_Int_Tables_number 1
_symmetry_space_group_name_Hall 'P 1'
_cell_length_a 7.415
_cell_length_b 7.415
_cell_length_c 7.415
_cell_angle_alpha 137.58
_cell_angle_beta 137.58
_cell_angle_gamma 61.54
loop_
_atom_site_label
_atom_site_type_symbol
_atom_site_fract_x
_atom_site_fract_y
_atom_site_fract_z
Ta1 Ta 0.000 0.000 0.000
Ta2 Ta 0.750 0.250 0.500
As1 As 0.250 0.750 0.500
As2 As 0.500 0.500 0.000
Pt1 Pt 0.145 0.625 0.020
Pt2 Pt 0.375 0.395 0.520
Pt3 Pt 0.605 0.125 0.980
Pt4 Pt 0.875 0.855 0.480

no.,total magnetic moment (μB/f.u.),volume (Å³/cell)
1,0.00,96
2,0.00,183